GGA+U SrCoBF2, relaxed; SG = P4/mmm; uncorrected energy = -4.549 eV per atom
1.0
4.3066 0.0000 0.0000
0.0000 3.8975 0.0000
0.0000 0.0000 4.3066
F B Co Sr
2 1 1 1
Cartesian
0.0000 0.0000 2.1533 F
2.1533 0.0000 0.0000 F
0.0000 1.9488 0.0000 B
0.0000 0.0000 0.0000 Co
2.1533 1.9488 2.1533 Sr